# 1
Here is an optimized crystal structure of AlSb2Pb from Alexandria. Energies are from GGA-PBE.

Output
As for the raw formation energy: 0.049 eV per atom. The offset from the most stable computed form comes out at 0.0052 eV per atom. The space-group type is R-3m, No. 166.

Cell and atoms, written as POSCAR:
```
AlSb2Pb
1.0
-3.195 -1.301 6.708
-1.480 -4.989 5.461
0.972 -1.987 7.211
Pb Sb Al
1 2 1
Cartesian
-2.777 -6.207 14.535
-3.651 -8.159 19.105
-1.904 -4.255 9.964
-0.926 -2.069 4.845
```



# 2
Here is an optimized crystal structure of Co3RhSe from Alexandria. Energies are from GGA-PBE.

Output
As for the raw formation energy: 0.822 eV per atom. The offset from the most stable computed form comes out at 0.0000 eV per atom. The space-group type is Pm-3m, No. 221.

Cell and atoms, written as POSCAR:
```
Co3RhSe
1.0
4.279 0.000 0.000
0.000 4.279 0.000
0.000 0.000 4.279
Co Rh Se
3 1 1
Cartesian
0.000 2.139 0.000
0.000 0.000 2.139
2.139 0.000 0.000
2.139 2.139 2.139
0.000 0.000 0.000
```



# 3
Here is an optimized crystal structure of ZnCdPt from Alexandria. Energies are from GGA-PBE.

Output
The calculation puts the formation energy at -23 kJ per mole of atoms. The space-group type is F-43m, No. 216.

Cell and atoms, written as POSCAR:
```
ZnCdPt
1.0
-3.341 -1.033 -2.685
0.820 -1.685 -3.992
-0.926 -4.228 -0.841
Cd Pt Zn
1 1 1
Cartesian
-1.724 -3.473 -3.759
-0.862 -1.736 -1.880
0.000 0.000 0.000
```



# 4
Here is an optimized crystal structure of Er3PaS4 from Alexandria. Energies are from GGA-PBE.

Output
As for the raw formation energy: -1.849 eV per atom. The space-group type is Cmmm, No. 65.

Cell and atoms, written as POSCAR:
```
Er3PaS4
1.0
-0.366 2.874 2.515
2.271 -4.000 4.900
6.689 0.550 0.345
S Pa Er
4 1 3
Cartesian
6.333 0.263 6.472
3.210 -1.432 5.030
1.896 2.034 3.805
5.385 0.855 2.732
7.642 -0.014 4.053
3.162 1.711 1.431
6.324 3.423 2.860
4.115 1.149 5.138
```



# 5
Here is an optimized crystal structure of CaFe2Tc from Alexandria. Energies are from GGA-PBE.

Output
The calculation puts the formation energy at 68 kJ per mole of atoms. The offset from the most stable computed form comes out at 0.3440 eV per atom. The space-group type is F-43m, No. 216.

Cell and atoms, written as POSCAR:
```
CaFe2Tc
1.0
-1.327 0.546 -4.150
-4.267 -0.285 -0.996
-2.236 3.605 -1.134
Ca Tc Fe
1 1 2
Cartesian
-3.915 1.933 -3.140
-5.872 2.899 -4.710
0.000 0.000 0.000
-1.957 0.966 -1.570
```



# 6
Here is an optimized crystal structure of Nd3Cd from Alexandria. Energies are from GGA-PBE.

Output
The calculation puts the formation energy at -9 kJ per mole of atoms. The offset from the most stable computed form comes out at 0.0414 eV per atom. The space-group type is P6_3/mmc, No. 194.

Cell and atoms, written as POSCAR:
```
Nd3Cd
1.0
-2.147 -0.564 6.828
0.691 -5.892 -4.044
5.329 -0.497 1.635
Nd Cd
6 2
Cartesian
1.199 -2.278 0.189
0.505 -5.356 1.516
1.529 -5.087 -1.739
2.674 -4.675 4.229
3.368 -1.597 2.902
2.345 -1.866 6.157
3.742 -4.488 0.806
0.131 -2.464 3.612
```



# 7
Here is an optimized crystal structure of Nd5CdS8 from Alexandria. Energies are from GGA-PBE.

Output
As for the raw formation energy: -1.808 eV per atom. The space-group type is I-4, No. 82.

Cell and atoms, written as POSCAR:
```
Nd5CdS8
1.0
7.454 0.016 -0.027
-2.507 7.020 0.027
-2.440 -3.542 6.089
Nd Cd S
5 1 8
Cartesian
-1.173 2.222 0.828
3.633 5.317 1.522
2.506 2.098 3.842
2.507 -1.763 3.031
0.048 -2.648 5.985
-1.220 0.858 4.573
-0.957 5.211 0.183
5.205 -1.810 4.412
4.145 0.432 2.159
1.645 -0.333 5.370
1.512 3.370 1.504
0.280 3.211 5.276
0.487 0.377 2.307
-2.287 3.518 3.145
```



# 8
Here is an optimized crystal structure of BaCuPt3 from Alexandria. Energies are from GGA-PBE.

Output
The calculation puts the formation energy at 4 kJ per mole of atoms. The offset from the most stable computed form comes out at 0.0000 eV per atom. The space-group type is Pm-3m, No. 221.

Cell and atoms, written as POSCAR:
```
BaCuPt3
1.0
4.790 0.000 0.000
0.000 4.790 0.000
0.000 0.000 4.790
Cu Ba Pt
1 1 3
Cartesian
0.000 0.000 0.000
2.395 2.395 2.395
0.000 2.395 0.000
0.000 0.000 2.395
2.395 0.000 0.000
```



# 9
Here is an optimized crystal structure of CuPdO3 from Alexandria. Energies are from GGA-PBE.

Output
As for the raw formation energy: 0.404 eV per atom. The space-group type is Pm-3m, No. 221.

Cell and atoms, written as POSCAR:
```
CuPdO3
1.0
-3.315 -1.645 1.168
2.012 -2.524 2.155
-0.154 2.447 3.009
O Cu Pd
3 1 1
Cartesian
1.006 -1.262 1.078
-0.077 1.223 1.504
-1.658 -0.823 0.584
-0.729 -0.861 3.166
0.000 0.000 0.000
```



# 10
Here is an optimized crystal structure of ZrIrNO2 from Alexandria. Energies are from GGA-PBE.

Output
As for the raw formation energy: -0.374 eV per atom. The space-group type is P4/mmm, No. 123.

Cell and atoms, written as POSCAR:
```
ZrIrNO2
1.0
-2.494 0.759 -2.915
2.790 -0.843 -2.607
-1.136 -3.748 -0.004
Ir O Zr N
1 2 1 1
Cartesian
0.000 0.000 0.000
1.395 -0.421 -1.304
-1.247 0.379 -1.457
-0.420 -1.916 -2.763
-0.568 -1.874 -0.002
```



# 11
Here is an optimized crystal structure of CdSbOs from Alexandria. Energies are from GGA-PBE.

Output
As for the raw formation energy: 0.485 eV per atom. The offset from the most stable computed form comes out at 0.1190 eV per atom. The space-group type is Imm2, No. 44.

Cell and atoms, written as POSCAR:
```
CdSbOs
1.0
5.457 0.001 -0.007
3.214 4.410 0.007
-4.172 -2.526 2.447
Sb Os Cd
1 1 1
Cartesian
2.653 1.349 0.000
5.966 3.035 0.000
0.052 0.027 0.000
```



# 12
Here is an optimized crystal structure of PrDy5Er7 from Alexandria. Energies are from GGA-PBE.

Output
The calculation puts the formation energy at 24 kJ per mole of atoms. The offset from the most stable computed form comes out at 0.0000 eV per atom. The space-group type is Imm2, No. 44.

Cell and atoms, written as POSCAR:
```
PrDy5Er7
1.0
6.251 0.000 2.291
2.980 7.962 1.543
0.382 -0.077 8.631
Pr Dy Er
1 5 7
Cartesian
6.163 0.241 2.532
3.525 -0.009 5.214
0.192 -0.009 3.992
4.716 3.676 1.964
1.383 3.676 0.743
7.269 5.753 9.188
5.031 3.331 5.621
4.150 5.734 8.024
1.298 2.436 6.132
2.174 5.148 3.741
2.449 1.847 2.992
5.718 6.459 3.746
4.000 1.142 8.435
```



# 13
Here is an optimized crystal structure of PrYBi from Alexandria. Energies are from GGA-PBE.

Output
The calculation puts the formation energy at -31 kJ per mole of atoms. The space-group type is P3m1, No. 156.

Cell and atoms, written as POSCAR:
```
PrYBi
1.0
4.149 0.000 0.000
0.000 5.262 0.000
0.000 -2.631 4.557
Pr Y Bi
1 1 1
Cartesian
2.618 2.631 1.519
0.448 0.000 0.000
1.083 0.000 3.038
```



# 14
Here is an optimized crystal structure of CrInIrBr2 from Alexandria. Energies are from GGA-PBE.

Output
As for the raw formation energy: 0.454 eV per atom. The space-group type is P4/mmm, No. 123.

Cell and atoms, written as POSCAR:
```
CrInIrBr2
1.0
5.295 0.000 0.000
0.000 4.821 0.000
0.000 0.000 5.295
Cr Ir Br In
1 1 2 1
Cartesian
0.000 2.411 0.000
0.000 0.000 0.000
0.000 0.000 2.648
2.648 0.000 0.000
2.648 2.411 2.648
```



# 15
Here is an optimized crystal structure of K5Tl6Zn from Alexandria. Energies are from GGA-PBE.

Output
The calculation puts the formation energy at -5 kJ per mole of atoms. The space-group type is C2/m, No. 12.

Cell and atoms, written as POSCAR:
```
K5Tl6Zn
1.0
9.254 0.060 1.618
2.600 5.688 3.558
0.100 -0.990 8.786
Zn K Tl
1 5 6
Cartesian
0.000 0.000 0.000
5.227 0.636 6.679
1.729 2.905 8.645
0.971 1.793 3.699
5.927 2.874 2.588
6.728 4.122 7.283
8.882 5.396 4.474
10.072 5.210 7.400
3.654 3.900 5.584
1.882 -0.452 6.561
8.300 0.858 8.378
2.972 0.352 0.702
```



# 16
Here is an optimized crystal structure of PrEr2Tm from Alexandria. Energies are from GGA-PBE.

Output
The calculation puts the formation energy at 3 kJ per mole of atoms. The offset from the most stable computed form comes out at 0.0122 eV per atom. The space-group type is P4/mmm, No. 123.

Cell and atoms, written as POSCAR:
```
PrEr2Tm
1.0
5.031 0.000 0.000
0.000 5.023 0.000
0.000 0.000 5.023
Pr Tm Er
1 1 2
Cartesian
2.516 0.000 0.000
2.516 2.512 2.512
0.000 0.000 2.512
0.000 2.512 0.000
```



# 17
Here is an optimized crystal structure of ZrSnPd3 from Alexandria. Energies are from GGA-PBE.

Output
The calculation puts the formation energy at 46 kJ per mole of atoms. The offset from the most stable computed form comes out at 1.0545 eV per atom. The space-group type is Pm-3m, No. 221.

Cell and atoms, written as POSCAR:
```
ZrSnPd3
1.0
-0.827 3.094 3.787
-4.517 -1.955 0.610
1.873 -3.347 3.144
Zr Sn Pd
1 1 3
Cartesian
0.000 0.000 0.000
-1.735 -1.104 3.771
-2.258 -0.977 0.305
0.937 -1.673 1.572
-0.414 1.547 1.893
```



# 18
Here is an optimized crystal structure of As2PbS from Alexandria. Energies are from GGA-PBE.

Output
As for the raw formation energy: 0.273 eV per atom. The offset from the most stable computed form comes out at 0.0000 eV per atom. The space-group type is I-42d, No. 122.

Cell and atoms, written as POSCAR:
```
As2PbS
1.0
5.673 0.000 0.000
0.000 5.673 0.000
2.836 2.836 7.206
Pb As S
2 4 2
Cartesian
0.000 0.000 0.000
5.673 2.836 3.603
3.847 1.418 1.801
1.826 4.255 1.801
4.255 4.662 5.404
7.091 6.684 5.404
2.836 2.836 0.000
2.836 5.673 3.603
```



# 19
Here is an optimized crystal structure of HfZr4In5 from Alexandria. Energies are from GGA-PBE.

Output
The calculation puts the formation energy at -16 kJ per mole of atoms. The offset from the most stable computed form comes out at 0.0000 eV per atom. The space-group type is P4/mmm, No. 123.

Cell and atoms, written as POSCAR:
```
HfZr4In5
1.0
-0.899 2.913 -2.276
-0.369 -2.401 -2.928
-14.936 -1.913 3.452
Hf Zr In
1 4 5
Cartesian
0.000 0.000 0.000
-2.976 -0.381 0.688
-5.958 -0.763 1.377
-8.978 -1.150 2.075
-11.961 -1.532 2.764
-2.109 0.067 -2.261
-5.108 -0.317 -1.568
-8.102 -0.701 -0.876
-11.097 -1.084 -0.184
-14.095 -1.468 0.509
```



# 20
Here is an optimized crystal structure of SrEuRh from Alexandria. Energies are from GGA-PBE.

Output
The calculation puts the formation energy at -22 kJ per mole of atoms. The offset from the most stable computed form comes out at 0.0000 eV per atom. The space-group type is I4mm, No. 107.

Cell and atoms, written as POSCAR:
```
SrEuRh
1.0
-0.537 3.592 -0.297
-1.470 -0.492 -3.298
-5.288 -2.249 4.707
Eu Sr Rh
1 1 1
Cartesian
-3.606 -0.401 1.667
-0.509 -0.057 0.235
-3.180 1.308 -0.791
```



Which DFT total energy belongs to each record? In order, -3.875, -5.609, -2.986, -6.811, -6.616, -3.900, -5.934, -4.792, -4.429, -7.504, -4.938, -4.344, -5.367, -4.460, -1.800, -4.566, -5.154, -4.011, -5.949, -6.661 eV/atom.